Here is Nd3TmBi4 after structural relaxation from Alexandria via LeMat-Bulk. Energies are from PBE.

Output
* crystal system: cubic
* energy of formation from the pure elements: -7.19 eV per formula unit
* magnetization: 0.0 μB per formula unit

a b c (Å): 6.458 6.458 6.458
angles (deg): 90.00 90.00 90.00
Fractional positions:
Tm 0.000 0.000 0.000
Nd 0.000 0.500 0.500
Nd 0.500 0.000 0.500
Nd 0.500 0.500 0.000
Bi 0.500 0.000 0.000
Bi 0.000 0.500 0.000
Bi 0.000 0.000 0.500
Bi 0.500 0.500 0.500

***

Here is LiTeS2Cl after structural relaxation from Alexandria via LeMat-Bulk. Energies are from PBE.

Output
* crystal system: tetragonal
* magnetization: 0.0 μB per formula unit
* ΔE_f (raw): 0.1244 eV per atom
* relative energy among the computed polymorphs: 268 meV/atom

a b c (Å): 4.710 4.710 4.327
angles (deg): 90.00 90.00 90.00
Fractional positions:
S 0.000 0.500 0.000
S 0.500 0.000 0.000
Te 0.500 0.500 0.500
Li 0.000 0.000 0.000
Cl 0.000 0.000 0.500

***

Here is HfCu2SnH after structural relaxation from Alexandria via LeMat-Bulk. Energies are from PBE.

Output
* crystal system: tetragonal
* magnetization: 0.0 μB per formula unit
* E_tot: -5.248 eV per atom

a b c (Å): 4.119 4.119 4.116
angles (deg): 90.00 90.00 90.00
Fractional positions:
H 0.000 0.000 0.000
Hf 0.000 0.000 0.500
Sn 0.500 0.500 0.500
Cu 0.000 0.500 0.000
Cu 0.500 0.000 0.000

***

Here is Tm5TcBi4 after structural relaxation from Alexandria via LeMat-Bulk. Energies are from PBE.

Output
* crystal system: tetragonal
* energy of formation from the pure elements: -4.24 eV per formula unit
* magnetization: 0.0 μB per formula unit

a b c (Å): 6.284 7.474 7.474
angles (deg): 79.82 65.14 65.14
Fractional positions:
Tm 0.934 0.358 0.824
Tm 0.292 0.824 0.642
Tm 0.758 0.176 0.358
Tm 0.116 0.642 0.176
Tm 0.364 0.000 0.000
Tc 0.911 0.000 0.000
Bi 0.451 0.377 0.787
Bi 0.828 0.787 0.623
Bi 0.239 0.213 0.377
Bi 0.616 0.623 0.213

***

Here is MgTe2Cl after structural relaxation from Alexandria via LeMat-Bulk. Energies are from PBE.

Output
* crystal system: trigonal
* magnetization: 0.0 μB per formula unit
* ΔE_f (raw): 0.1078 eV per atom
* relative energy among the computed polymorphs: 841 meV/atom

a b c (Å): 10.829 10.829 10.829
angles (deg): 18.20 18.20 18.20
Fractional positions:
Mg 0.000 0.000 0.000
Te 0.913 0.913 0.913
Te 0.087 0.087 0.087
Cl 0.500 0.500 0.500

***

Here is Ba3NaTc after structural relaxation from Alexandria via LeMat-Bulk. Energies are from PBE.

Output
* crystal system: cubic
* energy of formation from the pure elements: 2.12 eV per formula unit
* magnetization: 0.0 μB per formula unit
* relative energy among the computed polymorphs: 0 meV/atom

a b c (Å): 6.058 6.058 6.058
angles (deg): 90.00 90.00 90.00
Fractional positions:
Na 0.500 0.500 0.500
Ba 0.000 0.500 0.000
Ba 0.000 0.000 0.500
Ba 0.500 0.000 0.000
Tc 0.000 0.000 0.000

***

Here is Ac7Cu2Sn2 after structural relaxation from Alexandria via LeMat-Bulk. Energies are from PBE.

Output
* crystal system: orthorhombic
* energy of formation from the pure elements: -1.46 eV per formula unit
* magnetization: 0.0 μB per formula unit

a b c (Å): 7.539 7.575 7.539
angles (deg): 90.00 109.42 90.00
Fractional positions:
Ac 0.000 0.264 0.500
Ac 0.500 0.736 0.000
Ac 0.000 0.736 0.500
Ac 0.500 0.264 0.000
Ac 0.000 0.000 0.000
Ac 0.500 0.762 0.500
Ac 0.500 0.238 0.500
Cu 0.712 0.000 0.288
Cu 0.288 0.000 0.712
Sn 0.830 0.500 0.830
Sn 0.170 0.500 0.170

***

Here is SrLiPb after structural relaxation from Alexandria via LeMat-Bulk. Energies are from PBE.

Output
* crystal system: orthorhombic
* energy of formation from the pure elements: -0.90 eV per formula unit
* magnetization: 0.0 μB per formula unit

a b c (Å): 5.804 5.804 5.804
angles (deg): 141.60 129.82 64.91
Fractional positions:
Li 0.005 0.005 0.000
Pb 0.667 0.667 0.000
Sr 0.328 0.328 0.000

***

Here is NaSnB after structural relaxation from Alexandria via LeMat-Bulk. Energies are from PBE.

Output
* crystal system: triclinic
* energy of formation from the pure elements: 0.94 eV per formula unit
* magnetization: 0.0 μB per formula unit

a b c (Å): 6.618 6.626 3.870
angles (deg): 75.42 104.47 65.90
Fractional positions:
Na 0.572 0.308 0.695
Na 0.152 0.888 0.695
B 0.857 0.798 0.995
B 0.062 0.592 0.399
Sn 0.078 0.368 0.993
Sn 0.632 0.815 0.401

***

Here is Tb3Sm5Ho2 after structural relaxation from Alexandria via LeMat-Bulk. Energies are from PBE.

Output
* crystal system: monoclinic
* energy of formation from the pure elements: 1.93 eV per formula unit
* magnetization: 0.0 μB per formula unit
* relative energy among the computed polymorphs: 0 meV/atom

a b c (Å): 9.868 9.859 9.242
angles (deg): 108.28 108.33 114.30
Fractional positions:
Tb 0.271 0.021 0.042
Tb 0.729 0.979 0.958
Tb 0.521 0.467 0.248
Tb 0.479 0.533 0.752
Tb 0.227 0.780 0.248
Tb 0.773 0.220 0.752
Sm 0.227 0.477 0.954
Sm 0.773 0.523 0.046
Sm 0.976 0.726 0.452
Sm 0.479 0.229 0.458
Sm 0.024 0.274 0.548
Sm 0.521 0.771 0.542
Sm 0.886 0.618 0.751
Sm 0.114 0.382 0.249
Sm 0.365 0.133 0.751
Sm 0.635 0.867 0.249
Ho 0.969 0.022 0.750
Ho 0.031 0.978 0.250
Ho 0.282 0.728 0.750
Ho 0.718 0.272 0.250

***

Here is Ba2HfSc after structural relaxation from Alexandria via LeMat-Bulk. Energies are from PBE.

Output
* crystal system: tetragonal
* energy of formation from the pure elements: 3.93 eV per formula unit
* magnetization: 0.9 μB per formula unit
* relative energy among the computed polymorphs: 221 meV/atom

a b c (Å): 9.374 9.374 7.405
angles (deg): 50.73 50.73 90.00
Site moments in Bohr magnetons follow the coordinates.
Fractional positions:
Sc 0.500 0.500 0.000  0.19
Sc 0.250 0.750 0.500  0.19
Hf 0.000 0.000 0.000  0.35
Hf 0.750 0.250 0.500  0.34
Ba 0.636 0.125 0.250  0.03
Ba 0.114 0.625 0.250  0.03
Ba 0.375 0.364 0.750  0.03
Ba 0.875 0.886 0.750  0.03

***

Here is Ni2MoOs after structural relaxation from Alexandria via LeMat-Bulk. Energies are from PBE.

Output
* crystal system: trigonal
* energy of formation from the pure elements: 0.63 eV per formula unit
* magnetization: 0.5 μB per formula unit
* relative energy among the computed polymorphs: 172 meV/atom

a b c (Å): 8.652 8.652 8.652
angles (deg): 17.88 17.88 17.88
Site moments in Bohr magnetons follow the coordinates.
Fractional positions:
Mo 0.748 0.748 0.748  0.01
Ni 0.997 0.997 0.997  0.10
Ni 0.253 0.253 0.253  0.32
Os 0.503 0.503 0.503  0.08